! PBE Pm3HgI3, relaxed; values from VASP
&SYSTEM
  ibrav = 0, nat = 28, ntyp = 3
/
ATOMIC_SPECIES
Pm 145.00 Pm.upf
Hg 200.59 Hg.upf
I 126.90 I.upf
ATOMIC_POSITIONS crystal
Pm 0.9774 0.4887 0.2387
Pm 0.5113 0.0226 0.2613
Pm 0.2500 0.0113 0.4887
Pm 0.9887 0.7500 0.0113
Pm 0.9887 0.2387 0.4774
Pm 0.7613 0.0113 0.0226
Pm 0.7387 0.4774 0.4887
Pm 0.7613 0.7500 0.2387
Pm 0.5226 0.2613 0.0113
Pm 0.2500 0.2387 0.2613
Pm 0.7387 0.2613 0.7500
Pm 0.5113 0.4887 0.7500
Hg 0.7500 0.5000 0.0000
Hg 0.5000 0.2500 0.5000
Hg 0.7500 0.2500 0.2500
Hg 0.0000 0.0000 0.2500
I 0.2429 0.9929 0.9857
I 0.7500 0.7571 0.7429
I 0.4857 0.7429 0.9929
I 0.0071 0.2500 0.9929
I 0.2571 0.7429 0.2500
I 0.4929 0.5071 0.2500
I 0.2429 0.2500 0.7571
I 0.2571 0.5143 0.5071
I 0.7500 0.9929 0.5071
I 0.0143 0.5071 0.7571
I 0.0071 0.7571 0.5143
I 0.4929 0.9857 0.7429
CELL_PARAMETERS angstrom
-9.8100 1.6222 4.5272
-1.2638 -3.5764 -10.2457
5.5029 -7.4436 5.8028
! Calculated total energy (eV per cell): -103.96
! Symmetry: I4_132